Entry 1:
A relaxed Cu3Ag2 crystal. Source: OQMD via LeMat-Bulk, functional PBE.

```
data_Cu3Ag2
_symmetry_space_group_name_H-M 'P 1'
_symmetry_Int_Tables_number 1
_cell_length_a 6.628
_cell_length_b 2.758
_cell_length_c 8.044
_cell_angle_alpha 90.00
_cell_angle_beta 103.84
_cell_angle_gamma 90.00
loop_
_symmetry_equiv_pos_as_xyz
'x,y,z'
loop_
_atom_site_label
_atom_site_fract_x
_atom_site_fract_y
_atom_site_fract_z
Cu1 0.945 0.750 0.368
Cu2 0.055 0.250 0.632
Cu3 0.346 0.750 0.531
Cu4 0.227 0.250 0.268
Cu5 0.773 0.750 0.732
Cu6 0.654 0.250 0.469
Ag1 0.533 0.750 0.176
Ag2 0.848 0.250 0.061
Ag3 0.467 0.250 0.824
Ag4 0.152 0.750 0.939
```

Computed properties:
The calculation puts the energy at -3.2761 eV/atom. The symmetry is No. 11. As for the crystal system: monoclinic.

Entry 2:
A relaxed Cu7Ag2 crystal. Source: OQMD via LeMat-Bulk, functional PBE.

```
data_Cu7Ag2
_symmetry_space_group_name_H-M 'P 1'
_symmetry_Int_Tables_number 1
_cell_length_a 2.687
_cell_length_b 2.687
_cell_length_c 19.186
_cell_angle_alpha 90.00
_cell_angle_beta 90.00
_cell_angle_gamma 120.00
loop_
_symmetry_equiv_pos_as_xyz
'x,y,z'
loop_
_atom_site_label
_atom_site_fract_x
_atom_site_fract_y
_atom_site_fract_z
Ag1 0.333 0.667 0.381
Ag2 0.667 0.333 0.619
Cu1 0.000 0.000 0.843
Cu2 0.333 0.667 0.052
Cu3 0.667 0.333 0.948
Cu4 0.333 0.667 0.739
Cu5 0.000 0.000 0.157
Cu6 0.000 0.000 0.500
Cu7 0.667 0.333 0.261
```

Computed properties:
The calculation puts the energy at -3.4266 eV/atom. The symmetry is No. 164. As for the crystal system: trigonal.